Entry 1:
{
  "formula": "TePtBr2",
  "functional": "GGA-PBE",
  "state": "relaxed",
  "total_energy_ev_per_atom": -2.992,
  "spacegroup": "I-42d, No. 122",
  "formation_energy_uncorrected_ev_per_atom": 0.140,
  "lattice_angstrom": [[10.442, 0.000, 0.000], [0.000, 10.442, 0.000], [5.221, 5.221, 2.601]],
  "species": ["Te", "Br", "Br", "Te", "Br", "Br", "Pt", "Pt"],
  "frac_coords": [[0.500, 0.500, 0.000], [0.874, 0.625, 0.250], [0.876, 0.125, 0.250], [0.250, 0.750, 0.500], [0.875, 0.126, 0.750], [0.375, 0.124, 0.750], [0.750, 0.250, 0.500], [0.000, 0.000, 0.000]]
}

=====

Entry 2:
{
  "formula": "TePtBr2",
  "functional": "GGA-PBE",
  "state": "relaxed",
  "total_energy_ev_per_atom": -3.435,
  "spacegroup": "Cm, No. 8",
  "formation_energy_uncorrected_ev_per_atom": -0.303,
  "lattice_angstrom": [[0.034, 3.453, -1.569], [-5.948, 1.275, -1.910], [-2.723, 2.416, 5.257]],
  "species": ["Br", "Pt", "Te", "Br"],
  "frac_coords": [[0.402, 0.822, 0.927], [0.824, 0.977, 0.663], [0.236, 0.153, 0.410], [0.038, 0.548, 0.501]]
}

=====

Entry 3:
{
  "formula": "Te2PtBr",
  "functional": "GGA-PBE",
  "state": "relaxed",
  "total_energy_ev_per_atom": -3.488,
  "spacegroup": "Pmm2, No. 25",
  "formation_energy_uncorrected_ev_per_atom": 0.011,
  "lattice_angstrom": [[3.541, 0.000, 0.000], [0.000, 3.641, 0.000], [0.000, 0.000, 9.198]],
  "species": ["Br", "Te", "Te", "Pt"],
  "frac_coords": [[0.000, 0.000, 0.537], [0.000, 0.000, 0.823], [0.500, 0.500, 0.212], [0.500, 0.500, 0.928]]
}

=====

Entry 4:
{
  "formula": "TePtBr2",
  "functional": "GGA-PBE",
  "state": "relaxed",
  "total_energy_ev_per_atom": -2.840,
  "spacegroup": "R-3m, No. 166",
  "formation_energy_uncorrected_ev_per_atom": 0.292,
  "lattice_angstrom": [[-0.642, -10.611, 7.532], [0.213, -12.098, 4.830], [2.453, -10.866, 6.756]],
  "species": ["Pt", "Br", "Te", "Br"],
  "frac_coords": [[0.000, 0.000, 0.000], [0.939, 0.939, 0.939], [0.500, 0.500, 0.500], [0.061, 0.061, 0.061]]
}